[1]
DFT (PBE-GGA) results for a geometry-optimized Ho2TlPb5 structure.

Total magnetization (μB/atom): 0.000
Calculated formation energy (eV/atom): -0.26
Space-group type: No. 12

Cell: 6.915 6.915 6.859 Å, 120.70 120.70 88.91°
Positions (direct):
Tl  0.778  0.778  0.000
Pb  0.778  0.278  0.000
Pb  0.278  0.278  0.500
Ho  0.778  0.278  0.500
Pb  0.278  0.778  0.000
Ho  0.278  0.778  0.500
Pb  0.278  0.278  0.000
Pb  0.778  0.778  0.500

---

[2]
DFT (PBE-GGA) results for a geometry-optimized HoTlPb2 structure.

Total magnetization (μB/atom): 0.000
Calculated formation energy (eV/atom): -0.25
Space-group type: No. 123

Cell: 4.920 4.798 4.798 Å, 90.00 90.00 90.00°
Positions (direct):
Pb  0.000  0.500  0.000
Tl  0.500  0.000  0.000
Pb  0.000  0.000  0.500
Ho  0.500  0.500  0.500